# 1
The following is a GGA-PBE calculation of a relaxed Ba2Zn4Si3Hg crystal, from Alexandria.

Summary:
The crystal system is tetragonal. The value obtained for the raw formation energy is -0.249 eV/atom.

```
data_Ba2Zn4Si3Hg
_chemical_formula_sum 'Ba2 Zn4 Si3 Hg1'
_cell_length_a 4.4805
_cell_length_b 4.4805
_cell_length_c 10.9388
_cell_angle_alpha 90.00
_cell_angle_beta 90.00
_cell_angle_gamma 90.00
_space_group_name_H-M_alt 'P -4 m 2'
_space_group_IT_number 115
_space_group_name_Hall 'P -4 -2'
loop_
_atom_site_label
_atom_site_type_symbol
_atom_site_fract_x
_atom_site_fract_y
_atom_site_fract_z
_atom_site_occupancy
Ba1 Ba 0.0000 0.5000 0.2393 1
Zn1 Zn 0.0000 0.0000 0.0000 1
Zn2 Zn 0.0000 0.5000 0.6413 1
Zn3 Zn 0.5000 0.5000 0.0000 1
Si1 Si 0.0000 0.5000 0.8749 1
Si2 Si 0.5000 0.5000 0.5000 1
Hg1 Hg 0.0000 0.0000 0.5000 1
```

***

# 2
The following is a GGA-PBE calculation of a relaxed MgBe2CrP crystal, from Alexandria.

Summary:
The crystal system is tetragonal.

```
data_MgBe2CrP
_chemical_formula_sum 'Mg1 Be2 Cr1 P1'
_cell_length_a 4.2286
_cell_length_b 4.2286
_cell_length_c 4.5880
_cell_angle_alpha 90.00
_cell_angle_beta 90.00
_cell_angle_gamma 90.00
_space_group_name_H-M_alt 'P 4/m m m'
_space_group_IT_number 123
_space_group_name_Hall '-P 4 2'
loop_
_atom_site_label
_atom_site_type_symbol
_atom_site_fract_x
_atom_site_fract_y
_atom_site_fract_z
_atom_site_occupancy
Mg1 Mg 0.0000 0.0000 0.0000 1
Be1 Be 0.0000 0.5000 0.0000 1
Cr1 Cr 0.0000 0.0000 0.5000 1
P1 P 0.5000 0.5000 0.5000 1
```

***

# 3
The following is a GGA-PBE calculation of a relaxed K2Tl3SbS6 crystal, from Alexandria.

Summary:
The crystal system is monoclinic. The value obtained for the raw formation energy is -0.444 eV/atom.

```
data_K2Tl3SbS6
_chemical_formula_sum 'K4 Tl6 Sb2 S12'
_cell_length_a 7.6088
_cell_length_b 13.8309
_cell_length_c 7.2996
_cell_angle_alpha 90.00
_cell_angle_beta 118.19
_cell_angle_gamma 90.00
_space_group_name_H-M_alt 'C 1 2/m 1'
_space_group_IT_number 12
_space_group_name_Hall '-C 2y'
loop_
_atom_site_label
_atom_site_type_symbol
_atom_site_fract_x
_atom_site_fract_y
_atom_site_fract_z
_atom_site_occupancy
K1 K 0.0000 0.1714 0.0000 1
Tl1 Tl 0.0000 0.0000 0.5000 1
Tl2 Tl 0.0000 0.3415 0.5000 1
Sb1 Sb 0.0000 0.5000 0.0000 1
S1 S 0.1936 0.5000 0.7955 1
S2 S 0.2449 0.3705 0.2461 1
```

***

# 4
The following is a GGA-PBE calculation of a relaxed CaMg3Cd2 crystal, from Alexandria.

Summary:
The crystal system is monoclinic. The distance to the lowest polymorph of the same formula is 0.0 meV per atom.

```
data_CaMg3Cd2
_chemical_formula_sum 'Ca4 Mg12 Cd8'
_cell_length_a 17.2186
_cell_length_b 4.8160
_cell_length_c 7.5636
_cell_angle_alpha 90.00
_cell_angle_beta 107.79
_cell_angle_gamma 90.00
_space_group_name_H-M_alt 'C 1 2/m 1'
_space_group_IT_number 12
_space_group_name_Hall '-C 2y'
loop_
_atom_site_label
_atom_site_type_symbol
_atom_site_fract_x
_atom_site_fract_y
_atom_site_fract_z
_atom_site_occupancy
Ca1 Ca 0.1153 0.0000 0.1788 1
Mg1 Mg 0.0700 0.0000 0.6914 1
Mg2 Mg 0.1182 0.5000 0.5018 1
Mg3 Mg 0.1973 0.5000 0.9225 1
Cd1 Cd 0.0216 0.5000 0.8319 1
Cd2 Cd 0.2357 0.0000 0.6516 1
```

***

# 5
The following is a GGA-PBE calculation of a relaxed Er4GaAgRu2 crystal, from Alexandria.

Summary:
The crystal system is trigonal.

```
data_Er4GaAgRu2
_chemical_formula_sum 'Er12 Ga3 Ag3 Ru6'
_cell_length_a 4.8999
_cell_length_b 4.8999
_cell_length_c 24.0657
_cell_angle_alpha 90.00
_cell_angle_beta 90.00
_cell_angle_gamma 120.00
_space_group_name_H-M_alt 'R -3 m'
_space_group_IT_number 166
_space_group_name_Hall '-R 3 2"'
loop_
_atom_site_label
_atom_site_type_symbol
_atom_site_fract_x
_atom_site_fract_y
_atom_site_fract_z
_atom_site_occupancy
Er1 Er 0.0000 0.0000 0.1248 1
Er2 Er 0.0000 0.0000 0.3753 1
Ga1 Ga 0.0000 0.0000 0.5000 1
Ag1 Ag 0.0000 0.0000 0.0000 1
Ru1 Ru 0.0000 0.0000 0.2491 1
```

***

# 6
The following is a GGA-PBE calculation of a relaxed K2Te2H crystal, from Alexandria.

Summary:
The crystal system is tetragonal. The distance to the lowest polymorph of the same formula is 151.0 meV per atom.

```
data_K2Te2H
_chemical_formula_sum 'K4 Te4 H2'
_cell_length_a 6.9959
_cell_length_b 6.9959
_cell_length_c 7.2188
_cell_angle_alpha 90.00
_cell_angle_beta 90.00
_cell_angle_gamma 90.00
_space_group_name_H-M_alt 'I 4/m m m'
_space_group_IT_number 139
_space_group_name_Hall '-I 4 2'
loop_
_atom_site_label
_atom_site_type_symbol
_atom_site_fract_x
_atom_site_fract_y
_atom_site_fract_z
_atom_site_occupancy
K1 K 0.0000 0.5000 0.2500 1
Te1 Te 0.0000 0.0000 0.2272 1
H1 H 0.0000 0.0000 0.5000 1
```

***

# 7
The following is a GGA-PBE calculation of a relaxed Rb2LiF4 crystal, from Alexandria.

Summary:
The crystal system is tetragonal. The distance to the lowest polymorph of the same formula is 0.0 meV per atom. The value obtained for the raw formation energy is -2.370 eV/atom.

```
data_Rb2LiF4
_chemical_formula_sum 'Rb4 Li2 F8'
_cell_length_a 4.1338
_cell_length_b 4.1338
_cell_length_c 14.1086
_cell_angle_alpha 90.00
_cell_angle_beta 90.00
_cell_angle_gamma 90.00
_space_group_name_H-M_alt 'I 4/m m m'
_space_group_IT_number 139
_space_group_name_Hall '-I 4 2'
loop_
_atom_site_label
_atom_site_type_symbol
_atom_site_fract_x
_atom_site_fract_y
_atom_site_fract_z
_atom_site_occupancy
Rb1 Rb 0.0000 0.0000 0.1416 1
Li1 Li 0.0000 0.0000 0.5000 1
F1 F 0.0000 0.0000 0.3476 1
F2 F 0.0000 0.5000 0.0000 1
```

***

# 8
The following is a GGA-PBE calculation of a relaxed BePt2Rh crystal, from Alexandria.

Summary:
The crystal system is triclinic.

```
data_BePt2Rh
_chemical_formula_sum 'Be2 Pt4 Rh2'
_cell_length_a 4.3825
_cell_length_b 5.3349
_cell_length_c 5.3918
_cell_angle_alpha 60.75
_cell_angle_beta 87.15
_cell_angle_gamma 81.98
_space_group_name_H-M_alt 'P -1'
_space_group_IT_number 2
_space_group_name_Hall '-P 1'
loop_
_atom_site_label
_atom_site_type_symbol
_atom_site_fract_x
_atom_site_fract_y
_atom_site_fract_z
_atom_site_occupancy
Be1 Be 0.2481 0.3191 0.3481 1
Pt1 Pt 0.2683 0.7578 0.3501 1
Pt2 Pt 0.2822 0.8847 0.7813 1
Rh1 Rh 0.1977 0.3407 0.8964 1
```

***

# 9
The following is a GGA-PBE calculation of a relaxed Pm3Tc crystal, from Alexandria.

Summary:
The crystal system is orthorhombic. The distance to the lowest polymorph of the same formula is 0.0 meV per atom.

```
data_Pm3Tc
_chemical_formula_sum 'Pm6 Tc2'
_cell_length_a 3.6943
_cell_length_b 10.9830
_cell_length_c 5.5689
_cell_angle_alpha 90.00
_cell_angle_beta 90.00
_cell_angle_gamma 90.00
_space_group_name_H-M_alt 'I m m 2'
_space_group_IT_number 44
_space_group_name_Hall 'I 2 -2'
loop_
_atom_site_label
_atom_site_type_symbol
_atom_site_fract_x
_atom_site_fract_y
_atom_site_fract_z
_atom_site_occupancy
Pm1 Pm 0.0000 0.0000 0.0000 1
Pm2 Pm 0.0000 0.1980 0.4983 1
Tc1 Tc 0.0000 0.5000 0.0486 1
```

***

# 10
The following is a GGA-PBE calculation of a relaxed Tb2Y6ErTh3 crystal, from Alexandria.

Summary:
The crystal system is monoclinic.

```
data_Tb2Y6ErTh3
_chemical_formula_sum 'Tb4 Y12 Er2 Th6'
_cell_length_a 6.1962
_cell_length_b 10.7283
_cell_length_c 11.7579
_cell_angle_alpha 90.00
_cell_angle_beta 100.14
_cell_angle_gamma 90.00
_space_group_name_H-M_alt 'C 1 2/m 1'
_space_group_IT_number 12
_space_group_name_Hall '-C 2y'
loop_
_atom_site_label
_atom_site_type_symbol
_atom_site_fract_x
_atom_site_fract_y
_atom_site_fract_z
_atom_site_occupancy
Tb1 Tb 0.0000 0.1665 0.0000 1
Y1 Y 0.2491 0.1666 0.7464 1
Y2 Y 0.2488 0.5000 0.7463 1
Er1 Er 0.0000 0.5000 0.0000 1
Th1 Th 0.0000 0.0000 0.5000 1
Th2 Th 0.0000 0.3331 0.5000 1
```

***

# 11
The following is a GGA-PBE calculation of a relaxed CsKSc2O crystal, from Alexandria.

Summary:
The crystal system is tetragonal. The value obtained for the raw formation energy is -0.397 eV/atom.

```
data_CsKSc2O
_chemical_formula_sum 'Cs1 K1 Sc2 O1'
_cell_length_a 4.4854
_cell_length_b 4.4854
_cell_length_c 7.1305
_cell_angle_alpha 90.00
_cell_angle_beta 90.00
_cell_angle_gamma 90.00
_space_group_name_H-M_alt 'P 4/m m m'
_space_group_IT_number 123
_space_group_name_Hall '-P 4 2'
loop_
_atom_site_label
_atom_site_type_symbol
_atom_site_fract_x
_atom_site_fract_y
_atom_site_fract_z
_atom_site_occupancy
Cs1 Cs 0.0000 0.0000 0.0000 1
K1 K 0.5000 0.5000 0.0000 1
Sc1 Sc 0.0000 0.5000 0.5000 1
O1 O 0.5000 0.5000 0.5000 1
```

***

E: -28.01 -14.89 -87.03 -38.02 -138.29 -28.26 -55.84 -48.69 -48.31 -149.11 -21.56 (eV per cell)
Fermi-level density of states: 0.276 1.129 0.103 0.448 0.688 0.231 1.699 0.730 1.327 1.526 0.961 (states/eV/atom)